No. 1
Here is crystalline Ce8SnGe2 at its relaxed geometry from the Alexandria database. Energies are from PBE.

```
Ce8SnGe2
1.0
4.1856 -6.7071 0.0000
4.1856 6.7071 0.0000
-1.6469 0.0000 5.3648
Ce Sn Ge
8 1 2
direct
0.0730 0.2827 0.5765 Ce
0.2428 0.7572 0.0000 Ce
0.2827 0.0730 0.5765 Ce
0.4099 0.4099 0.1689 Ce
0.5901 0.5901 0.8311 Ce
0.7173 0.9270 0.4235 Ce
0.7572 0.2428 0.0000 Ce
0.9270 0.7173 0.4235 Ce
0.0000 0.0000 0.0000 Sn
0.3112 0.6888 0.5000 Ge
0.6888 0.3112 0.5000 Ge
```

## Properties
- Energy relative to the elements: -0.36 eV/atom
- Space group: C2/m (12)
- Final energy: -64.669 eV for the cell shown

No. 2
Here is crystalline Ce7SnGe5 at its relaxed geometry from the Alexandria database. Energies are from PBE.

```
Ce7SnGe5
1.0
-3.0262 5.3647 5.1161
3.0262 -5.3647 5.1161
3.0262 5.3647 -5.1161
Ce Sn Ge
7 1 5
direct
0.0000 0.0000 0.0000 Ce
0.3668 0.6798 0.6869 Ce
0.3780 0.3780 0.0000 Ce
0.4714 0.1352 0.3362 Ce
0.7990 0.1352 0.6638 Ce
0.8446 0.3446 0.5000 Ce
0.9929 0.6798 0.3131 Ce
0.6823 0.6823 0.0000 Sn
0.1576 0.1960 0.5207 Ge
0.1576 0.6370 0.9617 Ge
0.3953 0.8953 0.5000 Ge
0.6753 0.1960 0.0383 Ge
0.6753 0.6370 0.4793 Ge
```

## Properties
- Energy relative to the elements: -0.52 eV/atom
- Space group: Imm2 (44)
- Final energy: -75.396 eV for the cell shown

No. 3
Here is crystalline Ce2Sn5Ge at its relaxed geometry from the Alexandria database. Energies are from PBE.

```
Ce2Sn5Ge
1.0
6.6541 0.0000 0.0000
0.0000 13.2794 0.0000
0.0000 0.0000 4.5660
Ce Sn Ge
4 10 2
direct
0.2292 0.1188 0.0000 Ce
0.2708 0.6188 0.0000 Ce
0.7292 0.3812 0.0000 Ce
0.7708 0.8812 0.0000 Ce
0.0000 0.5000 0.5000 Sn
0.0209 0.7527 0.5000 Sn
0.2371 0.3733 0.0000 Sn
0.2629 0.8733 0.0000 Sn
0.4791 0.2527 0.5000 Sn
0.5000 0.0000 0.5000 Sn
0.5209 0.7473 0.5000 Sn
0.7371 0.1267 0.0000 Sn
0.7629 0.6267 0.0000 Sn
0.9791 0.2473 0.5000 Sn
0.0000 0.0000 0.5000 Ge
0.5000 0.5000 0.5000 Ge
```

## Properties
- Energy relative to the elements: -0.52 eV/atom
- Space group: Pbam (55)
- Final energy: -81.385 eV for the cell shown

No. 4
Here is crystalline Ce7SnGe2 at its relaxed geometry from the Alexandria database. Energies are from PBE.

```
Ce7SnGe2
1.0
4.1411 -7.2040 0.0000
4.1411 7.2040 0.0000
0.0000 0.0000 5.4100
Ce Sn Ge
7 1 2
direct
0.0000 0.0000 0.0000 Ce
0.2142 0.4469 0.0000 Ce
0.2636 0.7364 0.5000 Ce
0.4469 0.2142 0.0000 Ce
0.5531 0.7857 0.0000 Ce
0.7364 0.2636 0.5000 Ce
0.7857 0.5531 0.0000 Ce
0.5000 0.5000 0.5000 Sn
0.1988 0.8012 0.0000 Ge
0.8012 0.1988 0.0000 Ge
```

## Properties
- Energy relative to the elements: -0.06 eV/atom
- Space group: Cmmm (65)
- Final energy: -55.419 eV for the cell shown

No. 5
Here is crystalline TbCeSnGe at its relaxed geometry from the Alexandria database. Energies are from PBE.

```
TbCeSnGe
1.0
0.0000 3.7272 3.7272
3.7272 0.0000 3.7272
3.7272 3.7272 0.0000
Tb Ce Sn Ge
1 1 1 1
direct
0.0000 0.0000 0.0000 Tb
0.5000 0.5000 0.5000 Ce
0.7500 0.7500 0.7500 Sn
0.2500 0.2500 0.2500 Ge
```

## Properties
- Energy relative to the elements: -0.53 eV/atom
- Space group: F-43m (216)
- Final energy: -21.313 eV for the cell shown

No. 6
Here is crystalline Ce4SnGeTe2 at its relaxed geometry from the Alexandria database. Energies are from PBE.

```
Ce4SnGeTe2
1.0
7.6859 0.0000 0.0000
0.0000 4.4375 0.0000
-2.5646 0.0000 7.2737
Ce Sn Ge Te
4 1 1 2
direct
0.2316 0.0000 0.2348 Ce
0.2388 0.5000 0.7557 Ce
0.7612 0.5000 0.2443 Ce
0.7684 0.0000 0.7652 Ce
0.0000 0.0000 0.5000 Sn
0.0000 0.5000 0.0000 Ge
0.5000 0.0000 0.0000 Te
0.5000 0.5000 0.5000 Te
```

## Properties
- Energy relative to the elements, uncorrected: -1.010 eV per atom
- Space group: P2/m (10)
- Final energy: -46.718 eV for the cell shown

No. 7
Here is crystalline Ce6SnGe2Te3 at its relaxed geometry from the Alexandria database. Energies are from PBE.

```
Ce6SnGe2Te3
1.0
9.6360 -2.2043 0.0000
9.6360 2.2043 0.0000
-2.0439 0.0000 8.6319
Ce Sn Ge Te
6 1 2 3
direct
0.0076 0.0076 0.2518 Ce
0.3280 0.3280 0.4295 Ce
0.3326 0.3326 0.8984 Ce
0.6674 0.6674 0.1016 Ce
0.6720 0.6720 0.5705 Ce
0.9924 0.9924 0.7482 Ce
0.5000 0.5000 0.0000 Sn
0.1679 0.1679 0.3350 Ge
0.8321 0.8321 0.6650 Ge
0.1637 0.1637 0.8329 Te
0.5000 0.5000 0.5000 Te
0.8363 0.8363 0.1671 Te
```

## Properties
- Energy relative to the elements, uncorrected: -1.033 eV per atom
- Space group: C2/m (12)
- Final energy: -70.665 eV for the cell shown

No. 8
Here is crystalline CeZnSnGe at its relaxed geometry from the Alexandria database. Energies are from PBE.

```
CeZnSnGe
1.0
4.2842 0.0000 0.0000
0.0000 4.3464 0.0000
0.0000 0.0000 4.7237
Ce Zn Sn Ge
1 1 1 1
direct
0.0000 0.0000 0.0000 Ce
0.5000 0.0000 0.5000 Zn
0.0000 0.5000 0.5000 Sn
0.5000 0.5000 0.0000 Ge
```

## Properties
- Energy relative to the elements: -0.46 eV/atom
- Space group: Pmmm (47)
- Final energy: -17.686 eV for the cell shown

No. 9
Here is crystalline SrCe4Ge4 at its relaxed geometry from the Alexandria database. Energies are from PBE.

```
SrCe4Ge4
1.0
9.7250 0.0000 0.0000
0.0000 9.7250 0.0000
0.0000 0.0000 5.9263
Sr Ce Ge
2 8 8
direct
0.2500 0.2500 0.2500 Sr
0.7500 0.7500 0.7500 Sr
0.1114 0.6404 0.1362 Ce
0.1404 0.8886 0.6362 Ce
0.3596 0.6114 0.6362 Ce
0.3886 0.8596 0.1362 Ce
0.6114 0.1404 0.8638 Ce
0.6404 0.3886 0.3638 Ce
0.8596 0.1114 0.3638 Ce
0.8886 0.3596 0.8638 Ce
0.0482 0.5884 0.6469 Ge
0.0884 0.9518 0.1469 Ge
0.4116 0.5482 0.1469 Ge
0.4518 0.9116 0.6469 Ge
0.5482 0.0884 0.3531 Ge
0.5884 0.4518 0.8531 Ge
0.9116 0.0482 0.8531 Ge
0.9518 0.4116 0.3531 Ge
```

## Properties
- Energy relative to the elements: -0.43 eV/atom
- Space group: P4_2/n (86)
- Final energy: -95.521 eV for the cell shown

No. 10
Here is crystalline SrCeGe at its relaxed geometry from the Alexandria database. Energies are from PBE.

```
SrCeGe
1.0
4.9166 0.0000 0.0000
-2.4583 4.2579 0.0000
0.0000 0.0000 4.8294
Sr Ce Ge
1 1 1
direct
0.0000 0.0000 0.0000 Sr
0.3333 0.6667 0.5076 Ce
0.6667 0.3333 0.3824 Ge
```

## Properties
- Energy relative to the elements: -0.20 eV/atom
- Space group: P3m1 (156)
- Final energy: -12.821 eV for the cell shown

No. 11
Here is crystalline SrCeGe4 at its relaxed geometry from the Alexandria database. Energies are from PBE.

```
SrCeGe4
1.0
0.0000 4.0759 4.0759
4.0759 0.0000 4.0759
4.0759 4.0759 0.0000
Sr Ce Ge
1 1 4
direct
0.0000 0.0000 0.0000 Sr
0.2500 0.2500 0.2500 Ce
0.1305 0.6232 0.6232 Ge
0.6232 0.1305 0.6232 Ge
0.6232 0.6232 0.1305 Ge
0.6232 0.6232 0.6232 Ge
```

## Properties
- Energy relative to the elements: -0.34 eV/atom
- Polymorph energy (0 for the lowest one): 108 meV/atom
- Space group: F-43m (216)
- Final energy: -28.107 eV for the cell shown

No. 12
Here is crystalline SrCeGe4 at its relaxed geometry from the Alexandria database. Energies are from PBE.

```
SrCeGe4
1.0
7.7554 0.0000 0.0000
0.0000 17.8258 0.0000
0.0000 0.0000 4.4058
Sr Ce Ge
4 4 16
direct
0.1304 0.1683 0.0000 Sr
0.3696 0.6683 0.0000 Sr
0.6304 0.3317 0.0000 Sr
0.8696 0.8317 0.0000 Sr
0.1320 0.4131 0.0000 Ce
0.3680 0.9131 0.0000 Ce
0.6320 0.0869 0.0000 Ce
0.8680 0.5869 0.0000 Ce
0.0359 0.6838 0.5000 Ge
0.0948 0.9376 0.5000 Ge
0.1480 0.5378 0.5000 Ge
0.2113 0.8040 0.5000 Ge
0.2887 0.3040 0.5000 Ge
0.3520 0.0378 0.5000 Ge
0.4052 0.4376 0.5000 Ge
0.4641 0.1838 0.5000 Ge
0.5359 0.8162 0.5000 Ge
0.5948 0.5624 0.5000 Ge
0.6480 0.9622 0.5000 Ge
0.7113 0.6960 0.5000 Ge
0.7887 0.1960 0.5000 Ge
0.8520 0.4622 0.5000 Ge
0.9052 0.0624 0.5000 Ge
0.9641 0.3162 0.5000 Ge
```

## Properties
- Energy relative to the elements: -0.44 eV/atom
- Polymorph energy (0 for the lowest one): 0 meV/atom
- Space group: Pbam (55)
- Final energy: -115.014 eV for the cell shown

No. 13
Here is crystalline SrCe2Ge2 at its relaxed geometry from the Alexandria database. Energies are from PBE.

```
SrCe2Ge2
1.0
-2.9653 4.3087 6.0210
2.9653 -4.3087 6.0210
2.9653 4.3087 -6.0210
Sr Ce Ge
2 4 4
direct
0.3707 0.1207 0.2500 Sr
0.6293 0.8793 0.7500 Sr
0.0384 0.6332 0.4052 Ce
0.2719 0.3668 0.9052 Ce
0.7281 0.6332 0.0948 Ce
0.9616 0.3668 0.5948 Ce
0.1046 0.8546 0.2500 Ge
0.3439 0.5939 0.7500 Ge
0.6561 0.4061 0.2500 Ge
0.8954 0.1454 0.7500 Ge
```

## Properties
- Energy relative to the elements: -0.46 eV/atom
- Space group: Imma (74)
- Final energy: -50.127 eV for the cell shown

No. 14
Here is crystalline SrCeTlGe at its relaxed geometry from the Alexandria database. Energies are from PBE.

```
SrCeTlGe
1.0
0.0000 3.8677 3.8677
3.8677 0.0000 3.8677
3.8677 3.8677 0.0000
Sr Ce Tl Ge
1 1 1 1
direct
0.0000 0.0000 0.0000 Sr
0.5000 0.5000 0.5000 Ce
0.7500 0.7500 0.7500 Tl
0.2500 0.2500 0.2500 Ge
```

## Properties
- Energy relative to the elements: -0.34 eV/atom
- Space group: F-43m (216)
- Final energy: -15.941 eV for the cell shown

No. 15
Here is crystalline SrCe2Zn2Ge2 at its relaxed geometry from the Alexandria database. Energies are from PBE.

```
SrCe2Zn2Ge2
1.0
2.1775 1.2572 9.7994
-2.1775 1.2572 9.7994
0.0000 -2.5144 9.7994
Sr Ce Zn Ge
1 2 2 2
direct
0.0000 0.0000 0.0000 Sr
0.1438 0.1438 0.1438 Ce
0.8562 0.8562 0.8562 Ce
0.4140 0.4140 0.4140 Zn
0.5860 0.5860 0.5860 Zn
0.2584 0.2584 0.2584 Ge
0.7416 0.7416 0.7416 Ge
```

## Properties
- Energy relative to the elements: -0.37 eV/atom
- Space group: R-3m (166)
- Final energy: -27.930 eV for the cell shown

No. 16
Here is crystalline SrCeZnGe at its relaxed geometry from the Alexandria database. Energies are from PBE.

```
SrCeZnGe
1.0
0.0000 3.7418 3.7418
3.7418 0.0000 3.7418
3.7418 3.7418 0.0000
Sr Ce Zn Ge
1 1 1 1
direct
0.0000 0.0000 0.0000 Sr
0.5000 0.5000 0.5000 Ce
0.2500 0.2500 0.2500 Zn
0.7500 0.7500 0.7500 Ge
```

## Properties
- Energy relative to the elements: -0.33 eV/atom
- Space group: F-43m (216)
- Final energy: -14.846 eV for the cell shown

No. 17
Here is crystalline CeTaGe2 at its relaxed geometry from the Alexandria database. Energies are from PBE.

```
CeTaGe2
1.0
3.5189 0.0000 0.0000
0.0000 3.5189 0.0000
0.0000 0.0000 6.3815
Ce Ta Ge
1 1 2
direct
0.0000 0.0000 0.0000 Ce
0.0000 0.0000 0.5000 Ta
0.5000 0.5000 0.2956 Ge
0.5000 0.5000 0.7044 Ge
```

## Properties
- Energy relative to the elements: -0.32 eV/atom
- Space group: P4/mmm (123)
- Final energy: -28.308 eV for the cell shown

No. 18
Here is crystalline Ce2TaGe3 at its relaxed geometry from the Alexandria database. Energies are from PBE.

```
Ce2TaGe3
1.0
-1.5558 2.6126 8.1782
1.5558 -2.6126 8.1782
1.5558 2.6126 -8.1782
Ce Ta Ge
2 1 3
direct
0.1554 0.1554 0.0000 Ce
0.8446 0.8446 0.0000 Ce
0.5000 0.5000 0.0000 Ta
0.0000 0.5000 0.5000 Ge
0.3371 0.3371 0.0000 Ge
0.6629 0.6629 0.0000 Ge
```

## Properties
- Energy relative to the elements: -0.34 eV/atom
- Space group: Immm (71)
- Final energy: -39.590 eV for the cell shown

No. 19
Here is crystalline CeTaGe2 at its relaxed geometry from the Alexandria database. Energies are from PBE.

```
CeTaGe2
1.0
1.5757 0.9097 9.2296
-1.5757 0.9097 9.2296
0.0000 -1.8194 9.2296
Ce Ta Ge
1 1 2
direct
0.0000 0.0000 0.0000 Ce
0.5000 0.5000 0.5000 Ta
0.2411 0.2411 0.2411 Ge
0.7589 0.7589 0.7589 Ge
```

## Properties
- Energy relative to the elements: -0.13 eV/atom
- Space group: R-3m (166)
- Final energy: -27.522 eV for the cell shown

No. 20
Here is crystalline CeTaGe at its relaxed geometry from the Alexandria database. Energies are from PBE.

```
CeTaGe
1.0
4.5181 0.0000 0.0000
-2.2590 3.9128 0.0000
0.0000 0.0000 3.8166
Ce Ta Ge
1 1 1
direct
0.0000 0.0000 0.0000 Ce
0.3333 0.6667 0.5000 Ta
0.6667 0.3333 0.5000 Ge
```

## Properties
- Energy relative to the elements: -0.02 eV/atom
- Space group: P-6m2 (187)
- Final energy: -22.464 eV for the cell shown

No. 21
Here is crystalline Ce3Ta2Ge4 at its relaxed geometry from the Alexandria database. Energies are from PBE.

```
Ce3Ta2Ge4
1.0
6.3784 -2.1299 0.0000
6.3784 2.1299 0.0000
-4.2705 0.0000 7.6437
Ce Ta Ge
3 2 4
direct
0.0000 0.0000 0.0000 Ce
0.3654 0.3654 0.2748 Ce
0.6346 0.6346 0.7252 Ce
0.3154 0.3154 0.6181 Ta
0.6846 0.6846 0.3819 Ta
0.0687 0.0687 0.4117 Ge
0.3181 0.3181 0.9137 Ge
0.6819 0.6819 0.0863 Ge
0.9313 0.9313 0.5883 Ge
```

## Properties
- Energy relative to the elements: -0.49 eV/atom
- Space group: C2/m (12)
- Final energy: -64.363 eV for the cell shown

No. 22
Here is crystalline CeTaGe2 at its relaxed geometry from the Alexandria database. Energies are from PBE.

```
CeTaGe2
1.0
3.7091 -3.7146 0.0000
3.7091 3.7146 0.0000
0.0000 0.0000 3.0323
Ce Ta Ge
1 1 2
direct
0.0000 0.0000 0.0000 Ce
0.5000 0.5000 0.5000 Ta
0.0000 0.5000 0.5000 Ge
0.5000 0.0000 0.5000 Ge
```

## Properties
- Energy relative to the elements: -0.22 eV/atom
- Space group: Cmmm (65)
- Final energy: -27.885 eV for the cell shown

No. 23
Here is crystalline Ce2Ta3Ge4 at its relaxed geometry from the Alexandria database. Energies are from PBE.

```
Ce2Ta3Ge4
1.0
7.2199 0.0000 0.0000
0.0000 7.2084 0.0000
-2.4141 0.0000 6.7134
Ce Ta Ge
4 6 8
direct
0.1858 0.1681 0.0586 Ce
0.1858 0.3319 0.5586 Ce
0.8142 0.6681 0.4414 Ce
0.8142 0.8319 0.9414 Ce
0.2543 0.6679 0.2471 Ta
0.2543 0.8321 0.7471 Ta
0.5000 0.0000 0.5000 Ta
0.5000 0.5000 0.0000 Ta
0.7457 0.1679 0.2529 Ta
0.7457 0.3321 0.7529 Ta
0.0890 0.5438 0.8601 Ge
0.0890 0.9562 0.3601 Ge
0.4962 0.1337 0.8657 Ge
0.4962 0.3663 0.3657 Ge
0.5038 0.6337 0.6343 Ge
0.5038 0.8663 0.1343 Ge
0.9110 0.0438 0.6399 Ge
0.9110 0.4562 0.1399 Ge
```

## Properties
- Energy relative to the elements: -0.58 eV/atom
- Space group: P2_1/c (14)
- Final energy: -142.164 eV for the cell shown

No. 24
Here is crystalline Ce5TaGe4 at its relaxed geometry from the Alexandria database. Energies are from PBE.

```
Ce5TaGe4
1.0
8.8464 -2.1211 0.0000
8.8464 2.1211 0.0000
-2.5013 0.0000 6.6397
Ce Ta Ge
5 1 4
direct
0.0000 0.0000 0.0000 Ce
0.3139 0.3139 0.0574 Ce
0.3362 0.3362 0.6639 Ce
0.6638 0.6638 0.3361 Ce
0.6861 0.6861 0.9426 Ce
0.0000 0.0000 0.5000 Ta
0.1635 0.1635 0.6306 Ge
0.4896 0.4896 0.2670 Ge
0.5104 0.5104 0.7330 Ge
0.8365 0.8365 0.3694 Ge
```

## Properties
- Energy relative to the elements: -0.31 eV/atom
- Space group: C2/m (12)
- Final energy: -63.055 eV for the cell shown